! Mn2TcRu (PBE-GGA, optimized geometry); values from VASP
&SYSTEM
  ibrav = 0, nat = 4, ntyp = 3
/
ATOMIC_SPECIES
Mn 54.94 Mn.upf
Tc 98.00 Tc.upf
Ru 101.07 Ru.upf
CELL_PARAMETERS angstrom
3.7485 0.0000 0.0000
0.0000 3.7485 0.0000
0.0000 0.0000 3.6595
ATOMIC_POSITIONS angstrom
Mn 0.0000 1.8742 0.0000
Mn 1.8742 0.0000 0.0000
Tc 0.0000 0.0000 1.8298
Ru 1.8742 1.8742 1.8298
! ΔE_f = 33 kJ/mol of formula units
! M_tot = 2.3 μB/f.u.
! calculated total energy = -9.410 eV per atom

---

! SrNbTl2Ge (PBE-GGA, optimized geometry); values from VASP
&SYSTEM
  ibrav = 0, nat = 5, ntyp = 4
/
ATOMIC_SPECIES
Sr 87.62 Sr.upf
Nb 92.91 Nb.upf
Tl 204.38 Tl.upf
Ge 72.64 Ge.upf
CELL_PARAMETERS angstrom
5.5115 0.0000 0.0000
0.0000 5.5115 0.0000
0.0000 0.0000 5.1206
ATOMIC_POSITIONS angstrom
Sr 0.0000 0.0000 0.0000
Nb 2.7557 2.7557 0.0000
Tl 0.0000 2.7557 2.5603
Tl 2.7557 0.0000 2.5603
Ge 2.7557 2.7557 2.5603
! ΔE_f = 233 kJ/mol of formula units
! M_tot = 2.5 μB/f.u.
! calculated total energy = -3.737 eV per atom

---

! Dy7Sb2Au2 (PBE-GGA, optimized geometry); values from VASP
&SYSTEM
  ibrav = 0, nat = 11, ntyp = 3
/
ATOMIC_SPECIES
Dy 162.50 Dy.upf
Sb 121.76 Sb.upf
Au 196.97 Au.upf
CELL_PARAMETERS angstrom
4.4745 -5.4329 0.0000
4.4745 5.4329 0.0000
0.0000 0.0000 6.9515
ATOMIC_POSITIONS angstrom
Dy 0.0000 0.0000 0.0000
Dy 2.2373 2.7164 1.7728
Dy 2.2373 2.7164 5.1787
Dy 2.2373 -2.7164 1.7728
Dy 2.2373 -2.7164 5.1787
Dy 4.4745 0.0000 1.6882
Dy 4.4745 0.0000 5.2633
Sb 1.8038 0.0000 3.4757
Sb 7.1452 0.0000 3.4757
Au 4.4745 2.3996 0.0000
Au 4.4745 -2.3996 0.0000
! ΔE_f (raw) = -0.4735 eV/atom
! M_tot = 0.0 μB/f.u.
! calculated total energy = -4.747 eV per atom